No. 1
A geometry-optimized U2Pd3Rh3 structure. Source: Alexandria via LeMat-Bulk, functional GGA-PBE.

The structure in CIF format:
```
data_U2Pd3Rh3
_space_group_name_H-M_alt 'P m m m'
_space_group_IT_number 47
_space_group_name_Hall '-P 2 2'
_cell_length_a 3.9420
_cell_length_b 4.0652
_cell_length_c 8.4085
_cell_angle_alpha 90.00
_cell_angle_beta 90.00
_cell_angle_gamma 90.00
loop_
_atom_site_label
_atom_site_fract_x
_atom_site_fract_y
_atom_site_fract_z
_atom_site_occupancy
U1 0.0000 0.0000 0.2431 1
Pd1 0.0000 0.5000 0.0000 1
Pd2 0.0000 0.5000 0.5000 1
Pd3 0.5000 0.0000 0.5000 1
Rh1 0.5000 0.0000 0.0000 1
Rh2 0.5000 0.5000 0.2502 1
```

Computed properties:
ΔE_f in eV/f.u.: -4.941
E above lowest polymorph in meV/atom: 0
DOS at the Fermi energy in states/eV per cell: 9.95

---

No. 2
A geometry-optimized TaCr3Cu2S8 structure. Source: Alexandria via LeMat-Bulk, functional GGA-PBE.

The structure in CIF format:
```
data_TaCr3Cu2S8
_space_group_name_H-M_alt 'P 1 21/m 1'
_space_group_IT_number 11
_space_group_name_Hall '-P 2yb'
_cell_length_a 5.7184
_cell_length_b 7.0609
_cell_length_c 12.0379
_cell_angle_alpha 90.00
_cell_angle_beta 90.78
_cell_angle_gamma 90.00
loop_
_atom_site_label
_atom_site_fract_x
_atom_site_fract_y
_atom_site_fract_z
_atom_site_occupancy
Ta1 0.0236 0.2500 0.2469 1
Cr1 0.0000 0.0000 0.5000 1
Cr2 0.4807 0.2500 0.7432 1
Cr3 0.5000 0.0000 0.0000 1
Cu1 0.0876 0.2500 0.9085 1
Cu2 0.3973 0.2500 0.4038 1
S1 0.2149 0.7500 0.5841 1
S2 0.2386 0.5134 0.3310 1
S3 0.2407 0.2500 0.5791 1
S4 0.2609 0.2500 0.0831 1
S5 0.2638 0.5058 0.8315 1
S6 0.2996 0.7500 0.0876 1
```

Computed properties:
ΔE_f (raw) in eV per atom: -0.64
E above lowest polymorph in meV/atom: 75
DOS at the Fermi energy in states/eV per cell: 4.47

---

| no. | total energy (eV per atom) |
| --- | --- |
| 1 | -8.14 |
| 2 | -6.49 |